Computed, not measured: a relaxed structure of NaScCdAu at the PBE-GGA level of DFT.

Cell: 6.9629 6.9629 6.9629 Å, 90.00 90.00 90.00°
Closest atoms and distances in Å follow each position.
Space group F-43m (No. 216)
Unique sites:
Na 0.0000 0.0000 0.0000  4 Cd 3.02, 4 Au 3.02
Sc 0.0000 0.0000 0.5000  4 Au 3.02, 4 Cd 3.02
Cd 0.2500 0.2500 0.2500  4 Sc 3.02, 4 Na 3.02
Au 0.2500 0.2500 0.7500  4 Na 3.02, 4 Sc 3.02

Results
calculated density: 7.424 g cm⁻³
total moment: 0.0 μB per cell
ΔH_f (0 K): -0.264 eV per atom